Computed, not measured: a relaxed structure of Dy2CuP at the PBE level of DFT.

Unit cell a=3.9155 b=3.9155 c=20.9187 alpha=90.00 beta=90.00 gamma=120.00
With the nearest neighbours (Å) after each atom.
Space group R3m (No. 160, hexagonal axes)
Inequivalent atoms, fractional coordinates:
Dy (0.0000, 0.0000, 0.0000) (multiplicity 3)  3 P 2.76, 3 Cu 2.94
Dy (0.0000, 0.0000, 0.1801) (multiplicity 3)  3 P 2.78, 3 Cu 2.95
Cu (0.0000, 0.0000, 0.7565) (multiplicity 3)  6 Dy 2.94-2.95
P (0.0000, 0.0000, 0.5910) (multiplicity 3)  6 Dy 2.76-2.78

## Properties
The value obtained for the density of states at the Fermi level is 4.8 states/eV/cell. The value obtained for the total energy is -21.78 eV per formula unit.